*w*
Sm6MgZn after structural relaxation, computed with PBE.

The calculation puts the density at 6.8 Mg/m³. Its calculated volume is 30.31 Å³/atom. Its density of states at the Fermi level is 8.51 states/eV per cell. The size of the total moment is 0.000 μB/atom.

```
data_Sm6MgZn
_chemical_formula_sum 'Sm6 Mg1 Zn1'
_symmetry_space_group_name_H-M 'P -1'
_symmetry_Int_Tables_number 2
_symmetry_space_group_name_Hall '-P 1'
_cell_length_a 6.2418
_cell_length_b 6.2469
_cell_length_c 6.2622
_cell_angle_alpha 93.70
_cell_angle_beta 93.86
_cell_angle_gamma 93.95
loop_
_atom_site_label
_atom_site_type_symbol
_atom_site_fract_x
_atom_site_fract_y
_atom_site_fract_z
Sm1 Sm 0.0303 0.2578 0.0591
Sm2 Sm 0.2425 0.9424 0.4670
Sm3 Sm 0.4422 0.4693 0.7421
Mg1 Mg 0.5000 0.0000 0.0000
Zn1 Zn 0.0000 0.5000 0.5000
```

*x*
Sm6MgZn after structural relaxation, computed with PBE.

The calculation puts the density at 6.9 Mg/m³. Its calculated volume is 30.04 Å³/atom. Its density of states at the Fermi level is 17.58 states/eV per cell. The size of the total moment is 0.000 μB/atom.

```
data_Sm6MgZn
_chemical_formula_sum 'Sm12 Mg2 Zn2'
_symmetry_space_group_name_H-M 'I 4/m m m'
_symmetry_Int_Tables_number 139
_symmetry_space_group_name_Hall '-I 4 2'
_cell_length_a 5.1927
_cell_length_b 5.1927
_cell_length_c 17.8275
_cell_angle_alpha 90.00
_cell_angle_beta 90.00
_cell_angle_gamma 90.00
loop_
_atom_site_label
_atom_site_type_symbol
_atom_site_fract_x
_atom_site_fract_y
_atom_site_fract_z
Sm1 Sm 0.0000 0.0000 0.2491
Sm2 Sm 0.0000 0.5000 0.1088
Mg1 Mg 0.0000 0.0000 0.0000
Zn1 Zn 0.0000 0.0000 0.5000
```

Verdict on stability: *x* comes out on top.

*w*
SmMgZr2 after structural relaxation, computed with PBE.

The calculation puts the density at 6.0 Mg/m³. Its calculated volume is 24.83 Å³/atom. Its density of states at the Fermi level is 3.52 states/eV per cell. The size of the total moment is 0.000 μB/atom.

```
data_SmMgZr2
_chemical_formula_sum 'Sm1 Mg1 Zr2'
_symmetry_space_group_name_H-M 'P 4/m m m'
_symmetry_Int_Tables_number 123
_symmetry_space_group_name_Hall '-P 4 2'
_cell_length_a 3.2765
_cell_length_b 3.2765
_cell_length_c 9.2535
_cell_angle_alpha 90.00
_cell_angle_beta 90.00
_cell_angle_gamma 90.00
loop_
_atom_site_label
_atom_site_type_symbol
_atom_site_fract_x
_atom_site_fract_y
_atom_site_fract_z
Sm1 Sm 0.0000 0.0000 0.0000
Mg1 Mg 0.0000 0.0000 0.5000
Zr1 Zr 0.5000 0.5000 0.2649
```

*x*
SmMgZr2 after structural relaxation, computed with PBE.

The calculation puts the density at 6.0 Mg/m³. Its calculated volume is 24.78 Å³/atom. Its density of states at the Fermi level is 4.35 states/eV per cell. The size of the total moment is 0.000 μB/atom.

```
data_SmMgZr2
_chemical_formula_sum 'Sm1 Mg1 Zr2'
_symmetry_space_group_name_H-M 'P 4/m m m'
_symmetry_Int_Tables_number 123
_symmetry_space_group_name_Hall '-P 4 2'
_cell_length_a 4.6075
_cell_length_b 4.6075
_cell_length_c 4.6684
_cell_angle_alpha 90.00
_cell_angle_beta 90.00
_cell_angle_gamma 90.00
loop_
_atom_site_label
_atom_site_type_symbol
_atom_site_fract_x
_atom_site_fract_y
_atom_site_fract_z
Sm1 Sm 0.0000 0.0000 0.0000
Mg1 Mg 0.5000 0.5000 0.0000
Zr1 Zr 0.0000 0.5000 0.5000
```

Verdict on stability: *x* comes out on top.

*w*
Mg3Sn2 after structural relaxation, computed with PBE.

The calculation puts the density at 4.0 Mg/m³. Its calculated volume is 25.60 Å³/atom. Its density of states at the Fermi level is 6.99 states/eV per cell. The size of the total moment is 0.000 μB/atom.

```
data_Mg3Sn2
_chemical_formula_sum 'Mg18 Sn12'
_symmetry_space_group_name_H-M 'R -3 c'
_symmetry_Int_Tables_number 167
_symmetry_space_group_name_Hall '-R 3 2"c'
_cell_length_a 8.0564
_cell_length_b 8.0564
_cell_length_c 13.6634
_cell_angle_alpha 90.00
_cell_angle_beta 90.00
_cell_angle_gamma 120.00
loop_
_atom_site_label
_atom_site_type_symbol
_atom_site_fract_x
_atom_site_fract_y
_atom_site_fract_z
Mg1 Mg 0.0000 0.2847 0.2500
Sn1 Sn 0.0000 0.0000 0.1095
```

*x*
Mg3Sn2 after structural relaxation, computed with PBE.

The calculation puts the density at 4.1 Mg/m³. Its calculated volume is 25.39 Å³/atom. Its density of states at the Fermi level is 5.43 states/eV per cell. The size of the total moment is 0.000 μB/atom.

```
data_Mg3Sn2
_chemical_formula_sum 'Mg12 Sn8'
_symmetry_space_group_name_H-M 'C m c m'
_symmetry_Int_Tables_number 63
_symmetry_space_group_name_Hall '-C 2c 2'
_cell_length_a 4.8088
_cell_length_b 8.9167
_cell_length_c 11.8427
_cell_angle_alpha 90.00
_cell_angle_beta 90.00
_cell_angle_gamma 90.00
loop_
_atom_site_label
_atom_site_type_symbol
_atom_site_fract_x
_atom_site_fract_y
_atom_site_fract_z
Mg1 Mg 0.0000 0.0782 0.2500
Mg2 Mg 0.0000 0.3423 0.0841
Sn1 Sn 0.0000 0.0000 0.0000
Sn2 Sn 0.0000 0.2366 0.7500
```

Verdict on stability: *w* comes out on top.

*w*
Mg5Sn after structural relaxation, computed with PBE.

The calculation puts the density at 2.9 Mg/m³. Its calculated volume is 23.16 Å³/atom. Its density of states at the Fermi level is 3.61 states/eV per cell. The size of the total moment is 0.000 μB/atom.

```
data_Mg5Sn
_chemical_formula_sum 'Mg10 Sn2'
_symmetry_space_group_name_H-M 'C 1 2/m 1'
_symmetry_Int_Tables_number 12
_symmetry_space_group_name_Hall '-C 2y'
_cell_length_a 5.5467
_cell_length_b 9.6979
_cell_length_c 5.5461
_cell_angle_alpha 90.00
_cell_angle_beta 111.34
_cell_angle_gamma 90.00
loop_
_atom_site_label
_atom_site_type_symbol
_atom_site_fract_x
_atom_site_fract_y
_atom_site_fract_z
Mg1 Mg 0.0000 0.0000 0.0000
Mg2 Mg 0.0000 0.1667 0.5000
Mg3 Mg 0.0000 0.3321 0.0000
Sn1 Sn 0.0000 0.5000 0.5000
```

*x*
Mg5Sn after structural relaxation, computed with PBE.

The calculation puts the density at 2.9 Mg/m³. Its calculated volume is 23.16 Å³/atom. Its density of states at the Fermi level is 1.96 states/eV per cell. The size of the total moment is 0.000 μB/atom.

```
data_Mg5Sn
_chemical_formula_sum 'Mg5 Sn1'
_symmetry_space_group_name_H-M 'P -6 2 m'
_symmetry_Int_Tables_number 189
_symmetry_space_group_name_Hall 'P -6 -2'
_cell_length_a 5.6257
_cell_length_b 5.6257
_cell_length_c 5.0698
_cell_angle_alpha 90.00
_cell_angle_beta 90.00
_cell_angle_gamma 120.00
loop_
_atom_site_label
_atom_site_type_symbol
_atom_site_fract_x
_atom_site_fract_y
_atom_site_fract_z
Mg1 Mg 0.0000 0.3352 0.0000
Mg2 Mg 0.3333 0.6667 0.5000
Sn1 Sn 0.0000 0.0000 0.5000
```

Verdict on stability: *w* comes out on top.

*w*
Mg5Sn after structural relaxation, computed with PBE.

The calculation puts the density at 2.9 Mg/m³. Its calculated volume is 23.30 Å³/atom. Its density of states at the Fermi level is 5.84 states/eV per cell. The size of the total moment is 0.000 μB/atom.

```
data_Mg5Sn
_chemical_formula_sum 'Mg10 Sn2'
_symmetry_space_group_name_H-M 'C m m m'
_symmetry_Int_Tables_number 65
_symmetry_space_group_name_Hall '-C 2 2'
_cell_length_a 5.1949
_cell_length_b 15.5816
_cell_length_c 3.4539
_cell_angle_alpha 90.00
_cell_angle_beta 90.00
_cell_angle_gamma 90.00
loop_
_atom_site_label
_atom_site_type_symbol
_atom_site_fract_x
_atom_site_fract_y
_atom_site_fract_z
Mg1 Mg 0.0000 0.0000 0.0000
Mg2 Mg 0.0000 0.1711 0.5000
Mg3 Mg 0.0000 0.3358 0.0000
Sn1 Sn 0.0000 0.5000 0.5000
```

*x*
Mg5Sn after structural relaxation, computed with PBE.

The calculation puts the density at 2.9 Mg/m³. Its calculated volume is 23.15 Å³/atom. Its density of states at the Fermi level is 8.87 states/eV per cell. The size of the total moment is 0.000 μB/atom.

```
data_Mg5Sn
_chemical_formula_sum 'Mg15 Sn3'
_symmetry_space_group_name_H-M 'R 3 2'
_symmetry_Int_Tables_number 155
_symmetry_space_group_name_Hall 'R 3 2"'
_cell_length_a 5.5512
_cell_length_b 5.5512
_cell_length_c 15.6162
_cell_angle_alpha 90.00
_cell_angle_beta 90.00
_cell_angle_gamma 120.00
loop_
_atom_site_label
_atom_site_type_symbol
_atom_site_fract_x
_atom_site_fract_y
_atom_site_fract_z
Mg1 Mg 0.0000 0.0000 0.1680
Mg2 Mg 0.9997 0.6664 0.3333
Sn1 Sn 0.0000 0.0000 0.5000
```

Verdict on stability: *x* comes out on top.

*w*
Mg5Sn after structural relaxation, computed with PBE.

The calculation puts the density at 2.9 Mg/m³. Its calculated volume is 22.86 Å³/atom. Its density of states at the Fermi level is 4.55 states/eV per cell. The size of the total moment is 0.000 μB/atom.

```
data_Mg5Sn
_chemical_formula_sum 'Mg10 Sn2'
_symmetry_space_group_name_H-M 'C m m m'
_symmetry_Int_Tables_number 65
_symmetry_space_group_name_Hall '-C 2 2'
_cell_length_a 4.4972
_cell_length_b 13.5057
_cell_length_c 4.5167
_cell_angle_alpha 90.00
_cell_angle_beta 90.00
_cell_angle_gamma 90.00
loop_
_atom_site_label
_atom_site_type_symbol
_atom_site_fract_x
_atom_site_fract_y
_atom_site_fract_z
Mg1 Mg 0.0000 0.0000 0.0000
Mg2 Mg 0.0000 0.1645 0.5000
Mg3 Mg 0.0000 0.3329 0.0000
Sn1 Sn 0.0000 0.5000 0.5000
```

*x*
Mg5Sn after structural relaxation, computed with PBE.

The calculation puts the density at 2.9 Mg/m³. Its calculated volume is 23.30 Å³/atom. Its density of states at the Fermi level is 5.35 states/eV per cell. The size of the total moment is 0.000 μB/atom.

```
data_Mg5Sn
_chemical_formula_sum 'Mg10 Sn2'
_symmetry_space_group_name_H-M 'C 1 m 1'
_symmetry_Int_Tables_number 8
_symmetry_space_group_name_Hall 'C -2y'
_cell_length_a 11.8303
_cell_length_b 3.3196
_cell_length_c 7.3940
_cell_angle_alpha 90.00
_cell_angle_beta 105.68
_cell_angle_gamma 90.00
loop_
_atom_site_label
_atom_site_type_symbol
_atom_site_fract_x
_atom_site_fract_y
_atom_site_fract_z
Mg1 Mg 0.0000 0.0000 0.0000
Mg2 Mg 0.0488 0.0000 0.6075
Mg3 Mg 0.1610 0.5000 0.3351
Mg4 Mg 0.3332 0.0000 0.6673
Mg5 Mg 0.3852 0.0000 0.2719
Sn1 Sn 0.2205 0.5000 0.9432
```

Verdict on stability: *w* comes out on top.